An optimized crystal structure of TiCo2, computed with PBE-GGA.

Calculated values
**DOS at the Fermi energy**: 14.16 states/eV per cell
**Formation energy from the elements**: -0.310 eV/atom
**Spin magnetization**: 0.9 μB per formula unit

Unit cell a=4.7126 b=4.7126 c=7.6581 alpha=90.00 beta=90.00 gamma=120.00
Last column: nearest neighbours and their distance in Å.
Space group P6_3/mmc (No. 194)
Inequivalent atoms, fractional coordinates:
Ti1 0.3333 0.6667 0.0658 [4 per cell]  12 Co 2.75-2.77, 4 Ti 2.82-2.90
Co1 0.0000 0.0000 0.0000 [2 per cell]  6 Co 2.36
Co2 0.1699 0.3399 0.7500 [6 per cell]  6 Co 2.31-2.40

=====

An optimized crystal structure of CaPdRh3, computed with PBE-GGA.

Calculated values
**DOS at the Fermi energy**: 6.76 states/eV per cell
**Formation energy from the elements**: 1.589 eV/atom
**Spin magnetization**: 2.7 μB per formula unit

Unit cell a=4.7002 b=4.7002 c=4.7002 alpha=90.00 beta=90.00 gamma=90.00
Last column: nearest neighbours and their distance in Å.
Space group Pm-3m (No. 221)
Inequivalent atoms, fractional coordinates:
Ca1 0.0000 0.0000 0.0000 [1 per cell]  6 Rh 2.35
Pd1 0.5000 0.5000 0.5000 [1 per cell]  12 Rh 3.32
Rh1 0.0000 0.0000 0.5000 [3 per cell]  2 Ca 2.35

=====

An optimized crystal structure of CsTmCoS3, computed with PBE-GGA.

Calculated values
**DOS at the Fermi energy**: 9.71 states/eV per cell
**Formation energy from raw total energies**: -1302 meV/atom
**Spin magnetization**: 3.0 μB per formula unit

Unit cell a=3.9274 b=15.6133 c=10.3793 alpha=90.00 beta=90.00 gamma=90.00
Last column: nearest neighbours and their distance in Å.
Space group Cmcm (No. 63)
Inequivalent atoms, fractional coordinates:
Cs1 0.0000 0.2383 0.2500 [4 per cell]  8 S 3.56-3.82, 2 Cs 3.93
Tm1 0.0000 0.5000 0.0000 [4 per cell]  6 S 2.70-2.71
Co1 0.0000 0.0349 0.7500 [4 per cell]  4 S 2.26-2.36
S1 0.0000 0.1111 0.5649 [8 per cell]  1 Co 2.26
S2 0.0000 0.4516 0.7500 [4 per cell]  2 Co 2.36

=====

An optimized crystal structure of MgRh3I, computed with PBE-GGA.

Calculated values
**DOS at the Fermi energy**: 7.88 states/eV per cell
**Formation energy from raw total energies**: 781 meV/atom
**Spin magnetization**: 0.0 μB per formula unit

Unit cell a=4.8293 b=4.8293 c=4.8293 alpha=90.00 beta=90.00 gamma=90.00
Last column: nearest neighbours and their distance in Å.
Space group Pm-3m (No. 221)
Inequivalent atoms, fractional coordinates:
Mg1 0.0000 0.0000 0.0000 [1 per cell]  12 Rh 3.41
Rh1 0.0000 0.5000 0.5000 [3 per cell]  2 I 2.41
I1 0.5000 0.5000 0.5000 [1 per cell]  6 Rh 2.41

=====

An optimized crystal structure of Ac6TbY2, computed with PBE-GGA.

Calculated values
**DOS at the Fermi energy**: 60.57 states/eV per cell
**Formation energy from the elements**: 0.166 eV/atom
**Spin magnetization**: 0.0 μB per formula unit

Unit cell a=16.0576 b=9.4898 c=10.0140 alpha=90.00 beta=99.02 gamma=90.00
Last column: nearest neighbours and their distance in Å.
Space group C2/c (No. 15)
Inequivalent atoms, fractional coordinates:
Ac1 0.0984 0.1918 0.1245 [8 per cell]  2 Tb 3.55-3.92, 3 Y 3.61-3.76, 3 Ac 3.77-3.88
Ac2 0.1172 0.4347 0.8331 [8 per cell]  1 Tb 3.68, 3 Y 3.70-3.79, 5 Ac 3.73-4.10
Ac3 0.1352 0.2213 0.5156 [8 per cell]  1 Tb 3.61, 2 Y 3.66-3.68, 5 Ac 3.73-3.88
Tb1 0.0000 0.1045 0.7500 [4 per cell]  2 Y 3.51, 8 Ac 3.55-3.92
Y1 0.2194 0.0807 0.8497 [8 per cell]  1 Tb 3.51, 8 Ac 3.61-3.79

=====

An optimized crystal structure of ScGa3Pd, computed with PBE-GGA.

Calculated values
**DOS at the Fermi energy**: 5.09 states/eV per cell
**Formation energy from the elements**: -0.073 eV/atom
**Spin magnetization**: 0.0 μB per formula unit

Unit cell a=4.7532 b=4.7532 c=4.7532 alpha=90.00 beta=90.00 gamma=90.00
Last column: nearest neighbours and their distance in Å.
Space group Pm-3m (No. 221)
Inequivalent atoms, fractional coordinates:
Sc1 0.0000 0.0000 0.0000 [1 per cell]  12 Ga 3.36
Ga1 0.0000 0.5000 0.5000 [3 per cell]  2 Pd 2.38
Pd1 0.5000 0.5000 0.5000 [1 per cell]  6 Ga 2.38

=====

An optimized crystal structure of Ba3Zn3Ni2, computed with PBE-GGA.

Calculated values
**DOS at the Fermi energy**: 19.22 states/eV per cell
**Formation energy from the elements**: -0.087 eV/atom
**Spin magnetization**: 0.0 μB per formula unit

Unit cell a=8.4270 b=16.1103 c=6.2858 alpha=90.00 beta=90.00 gamma=90.00
Last column: nearest neighbours and their distance in Å.
Space group Pnma (No. 62)
Inequivalent atoms, fractional coordinates:
Ba1 0.0469 0.1035 0.1198 [8 per cell]  3 Ni 3.18-3.46, 6 Zn 3.35-3.50
Ba2 0.1965 0.2500 0.6150 [4 per cell]  4 Zn 3.15-3.41, 2 Ni 3.40
Zn1 0.1558 0.7500 0.5762 [4 per cell]  2 Ni 2.82, 1 Ba 3.15
Zn2 0.1640 0.0388 0.6125 [8 per cell]  3 Ni 2.56-2.63
Ni1 0.1207 0.5934 0.3820 [8 per cell]  4 Zn 2.56-2.82

=====

An optimized crystal structure of NbTeBr, computed with PBE-GGA.

Calculated values
**DOS at the Fermi energy**: 1.47 states/eV per cell
**Formation energy from raw total energies**: -158 meV/atom
**Spin magnetization**: 2.0 μB per formula unit

Unit cell a=4.3849 b=7.6627 c=8.1261 alpha=90.00 beta=122.63 gamma=90.00
Last column: nearest neighbours and their distance in Å.
Space group Pc (No. 7)
Inequivalent atoms, fractional coordinates:
Nb1 0.0000 0.0971 0.0000 [2 per cell]  1 Br 2.45
Te1 0.4042 0.1050 0.4043 [2 per cell]  3 Nb 2.76-2.77
Br1 0.8976 0.4035 0.8957 [2 per cell]  1 Nb 2.45

=====

An optimized crystal structure of MgOs2Ru, computed with PBE-GGA.

Calculated values
**DOS at the Fermi energy**: 7.57 states/eV per cell
**Formation energy from the elements**: 0.196 eV/atom
**Spin magnetization**: 0.0 μB per formula unit

Unit cell a=9.3468 b=2.7646 c=4.6464 alpha=90.00 beta=100.81 gamma=90.00
Last column: nearest neighbours and their distance in Å.
Space group C2/m (No. 12)
Inequivalent atoms, fractional coordinates:
Mg1 0.0000 0.0000 0.0000 [2 per cell]  6 Os 2.70-2.88, 4 Ru 2.70, 2 Mg 2.76
Os1 0.2364 0.0000 0.7438 [4 per cell]  3 Ru 2.67-2.90, 3 Mg 2.70-2.88, 6 Os 2.71-2.76
Ru1 0.0000 0.5000 0.5000 [2 per cell]  6 Os 2.67-2.90, 4 Mg 2.70, 2 Ru 2.76

=====

An optimized crystal structure of CaIrBr, computed with PBE-GGA.

Calculated values
**DOS at the Fermi energy**: 3.47 states/eV per cell
**Formation energy from raw total energies**: 150 meV/atom
**Spin magnetization**: 0.0 μB per formula unit

Unit cell a=4.8405 b=4.8405 c=6.0195 alpha=90.00 beta=90.00 gamma=90.00
Last column: nearest neighbours and their distance in Å.
Space group P4/nmm (No. 129, origin choice 2)
Inequivalent atoms, fractional coordinates:
Ca1 0.2500 0.2500 0.1509 [2 per cell]  1 Ir 2.81
Ir1 0.2500 0.2500 0.6840 [2 per cell]  4 Br 2.66, 1 Ca 2.81
Br1 0.2500 0.7500 0.5000 [2 per cell]  4 Ir 2.66

=====

An optimized crystal structure of InPtSeN2, computed with PBE-GGA.

Calculated values
**DOS at the Fermi energy**: 2.74 states/eV per cell
**Formation energy from raw total energies**: 1690 meV/atom
**Spin magnetization**: 3.8 μB per formula unit

Unit cell a=4.1035 b=4.1035 c=5.7557 alpha=90.00 beta=90.00 gamma=90.00
Last column: nearest neighbours and their distance in Å.
Space group P4/mmm (No. 123)
Inequivalent atoms, fractional coordinates:
In1 0.0000 0.0000 0.0000 [1 per cell]  4 N 2.05
Pt1 0.5000 0.5000 0.5000 [1 per cell]  4 Se 2.90
Se1 0.0000 0.0000 0.5000 [1 per cell]  2 In 2.88, 4 Pt 2.90
N1 0.0000 0.5000 0.0000 [2 per cell]  2 In 2.05

=====

An optimized crystal structure of LiCa2ZrS4, computed with PBE-GGA.

Calculated values
**DOS at the Fermi energy**: 2.43 states/eV per cell
**Formation energy from raw total energies**: -1774 meV/atom
**Spin magnetization**: 0.0 μB per formula unit

Unit cell a=6.6855 b=3.8342 c=6.7121 alpha=90.00 beta=108.77 gamma=90.00
Last column: nearest neighbours and their distance in Å.
Space group P2/m (No. 10)
Inequivalent atoms, fractional coordinates:
Li1 0.0000 0.0000 0.0000 [1 per cell]  6 S 2.67-2.69
Ca1 0.5000 0.0000 0.5000 [1 per cell]  6 S 2.78-2.79
Ca2 0.5000 0.5000 0.0000 [1 per cell]  6 S 2.81-2.85
Zr1 0.0000 0.5000 0.5000 [1 per cell]  6 S 2.60-2.67
S1 0.2299 0.5000 0.2523 [2 per cell]  1 Zr 2.60, 2 Li 2.69, 3 Ca 2.79-2.85
S2 0.2324 0.0000 0.7422 [2 per cell]  2 Zr 2.67, 1 Li 2.67, 3 Ca 2.78-2.81